No. 1
CsPb3S3: optimized geometry, PBE.

POSCAR file:
```
CsPb3S3
1.0
-5.047 -0.121 -5.337
-6.759 -2.519 1.393
-7.129 9.230 1.477
Cs Pb S
2 6 6
Direct
0.331 0.331 0.006
0.669 0.669 0.994
0.451 0.759 0.637
0.759 0.154 0.637
0.154 0.451 0.637
0.846 0.549 0.363
0.241 0.846 0.363
0.549 0.241 0.363
0.272 0.584 0.235
0.909 0.272 0.235
0.584 0.909 0.235
0.416 0.091 0.765
0.091 0.728 0.765
0.728 0.416 0.765
```

Summary:
symmetry	No. 148

***

No. 2
Cs2PbS2: optimized geometry, PBE.

POSCAR file:
```
Cs2PbS2
1.0
8.323 0.000 0.000
0.000 8.323 0.000
0.000 0.000 5.246
Pb Cs S
2 4 4
Direct
0.000 0.000 0.000
0.500 0.500 0.000
0.145 0.645 0.500
0.645 0.855 0.500
0.855 0.355 0.500
0.355 0.145 0.500
0.319 0.819 0.000
0.819 0.681 0.000
0.681 0.181 0.000
0.181 0.319 0.000
```

Summary:
symmetry	No. 127

***

What did we get for total magnetization? Answer: 0.000, 0.001 μB per cell, in the order shown.
What did we get for ΔE_f (raw)? Answer: -0.562, -0.568 eV/atom, in the order shown.